1.
The following is a DFT calculation (PBE) of an optimized crystal structure of Er2Tm6Mg.

```
Er2Tm6Mg
1.0
4.944 0.000 0.208
0.000 10.358 0.000
-0.435 0.000 10.350
Tm Mg Er
12 2 4
direct
0.000 0.333 0.167 Tm
0.500 0.833 0.333 Tm
0.000 0.667 0.833 Tm
0.500 0.500 0.334 Tm
0.500 0.500 0.666 Tm
0.000 0.334 0.500 Tm
0.000 0.000 0.166 Tm
0.000 0.000 0.834 Tm
0.000 0.666 0.500 Tm
0.500 0.166 0.000 Tm
0.500 0.834 0.000 Tm
0.500 0.167 0.667 Tm
0.000 0.000 0.500 Mg
0.500 0.500 0.000 Mg
0.500 0.833 0.667 Er
0.500 0.167 0.333 Er
0.000 0.667 0.167 Er
0.000 0.333 0.833 Er
```

The calculation puts the formation energy at 0.031 eV/atom. The space-group type is P4_2/mnm, No. 136. The polymorph energy (0 for the lowest one) comes out at 0.00 eV per formula unit. The total magnetic moment comes out at 0.00 μB/atom.

---

2.
The following is a DFT calculation (PBE) of an optimized crystal structure of Rb3Nd2Te6Pb.

```
Rb3Nd2Te6Pb
1.0
8.055 -0.001 0.000
-4.026 6.976 0.000
-1.343 -2.326 8.652
Rb Te Pb Nd
3 6 1 2
direct
0.164 0.836 0.500 Rb
0.836 0.164 0.500 Rb
0.500 0.500 0.500 Rb
0.589 0.931 0.793 Te
0.273 0.273 0.794 Te
0.931 0.589 0.793 Te
0.727 0.727 0.206 Te
0.411 0.069 0.207 Te
0.069 0.411 0.207 Te
0.000 0.000 0.000 Pb
0.333 0.667 0.000 Nd
0.667 0.333 0.000 Nd
```

The space-group type is C2/m, No. 12. For the formation energy without anion corrections, the calculation gives -1.102 eV/atom. The total magnetic moment comes out at 0.00 μB/atom.

---

3.
The following is a DFT calculation (PBE) of an optimized crystal structure of LaTiHS2.

```
LaTiHS2
1.0
-2.392 4.060 0.991
-3.840 -2.586 1.325
1.280 -0.103 3.508
Ti La H S
1 1 1 2
direct
0.000 0.000 0.000 Ti
0.500 0.500 0.500 La
0.000 0.000 0.500 H
0.500 0.000 0.000 S
0.000 0.500 0.000 S
```

For the total DFT energy (no corrections), the calculation gives -6.2486 eV/atom. The space-group type is P4/mmm, No. 123. The total magnetic moment comes out at 0.13 μB/atom.

---

4.
The following is a DFT calculation (PBE) of an optimized crystal structure of Ba4Ag2Hg.

```
Ba4Ag2Hg
1.0
6.765 -0.017 -2.391
-3.377 5.861 -2.393
-0.010 0.017 7.175
Ag Ba Hg
2 4 1
direct
0.500 0.500 0.000 Ag
0.500 0.000 0.500 Ag
0.500 0.500 0.500 Ba
0.500 0.000 0.000 Ba
0.000 0.500 0.000 Ba
0.000 0.000 0.500 Ba
0.000 0.000 0.000 Hg
```

The calculation puts the formation energy at -0.253 eV/atom. The space-group type is I4/mmm, No. 139. The total magnetic moment comes out at 0.00 μB/atom.